Material: BeCo2Tc2
Method: DFT, PBE-GGA
State: relaxed

a = 6.935 Å, b = 6.935 Å, c = 6.935 Å
α = 154.07°, β = 154.07°, γ = 36.99°
Element x y z (fractional)
Co: 0.250 0.750 0.500
Co: 0.750 0.250 0.500
Tc: 0.594 0.594 0.000
Tc: 0.406 0.406 0.000
Be: 0.000 0.000 0.000

Output
Uncorrected energy ... -0.2671 hartree per atom
Formation enthalpy at 0 K ... 2.3 eV/f.u.
Space-group type ... I4/mmm (139)
Energy above the lowest structure with this stoichiometry ... 155.2 meV/atom

Material: Be2CoTc
Method: DFT, PBE-GGA
State: relaxed

a = 5.897 Å, b = 5.897 Å, c = 4.838 Å
α = 52.45°, β = 52.45°, γ = 90.00°
Element x y z (fractional)
Co: 0.250 0.750 0.500
Co: 0.500 0.500 0.000
Be: 0.875 0.852 0.750
Be: 0.602 0.125 0.250
Be: 0.148 0.625 0.250
Be: 0.375 0.398 0.750
Tc: 0.750 0.250 0.500
Tc: 0.000 0.000 0.000

Output
Uncorrected energy ... -0.2204 hartree per atom
Formation enthalpy at 0 K ... 0.9 eV/f.u.
Space-group type ... I-42d (122)
Energy above the lowest structure with this stoichiometry ... 421.7 meV/atom

Material: BeCoTc
Method: DFT, PBE-GGA
State: relaxed

a = 3.741 Å, b = 3.741 Å, c = 8.959 Å
α = 90.00°, β = 90.00°, γ = 120.00°
Element x y z (fractional)
Be: 0.667 0.333 0.750
Be: 0.333 0.667 0.250
Tc: 0.000 0.000 0.250
Tc: 0.000 0.000 0.750
Co: 0.000 0.000 0.000
Co: 0.000 0.000 0.500

Output
Uncorrected energy ... -0.1890 hartree per atom
Formation enthalpy at 0 K ... 5.8 eV/f.u.
Space-group type ... P6_3/mmc (194)
Energy above the lowest structure with this stoichiometry ... 2158.9 meV/atom

Material: BeCoTc3
Method: DFT, PBE-GGA
State: relaxed

a = 4.363 Å, b = 4.363 Å, c = 4.363 Å
α = 90.00°, β = 90.00°, γ = 90.00°
Element x y z (fractional)
Be: 0.500 0.500 0.500
Co: 0.000 0.000 0.000
Tc: 0.500 0.000 0.000
Tc: 0.000 0.500 0.000
Tc: 0.000 0.000 0.500

Output
Uncorrected energy ... -0.2511 hartree per atom
Formation enthalpy at 0 K ... 7.8 eV/f.u.
Space-group type ... Pm-3m (221)
Energy above the lowest structure with this stoichiometry ... 787.2 meV/atom

Material: BeCoTc
Method: DFT, PBE-GGA
State: relaxed

a = 2.582 Å, b = 4.286 Å, c = 6.328 Å
α = 77.49°, β = 101.76°, γ = 90.01°
Element x y z (fractional)
Co: 0.042 0.266 0.260
Co: 0.860 0.764 0.894
Tc: 0.716 0.368 0.606
Tc: 0.530 0.780 0.234
Be: 0.388 0.304 0.951
Be: 0.202 0.874 0.578

Output
Uncorrected energy ... -0.2608 hartree per atom
Formation enthalpy at 0 K ... -0.1 eV/f.u.
Space-group type ... Cm (8)
Energy above the lowest structure with this stoichiometry ... 205.7 meV/atom

Material: BeCoTc
Method: DFT, PBE-GGA
State: relaxed

a = 4.836 Å, b = 3.875 Å, c = 3.828 Å
α = 90.00°, β = 90.00°, γ = 113.61°
Element x y z (fractional)
Be: 0.087 0.698 0.650
Be: 0.087 0.198 0.150
Tc: 0.762 0.036 0.650
Tc: 0.413 0.361 0.650
Co: 0.776 0.543 0.150
Co: 0.399 0.854 0.150

Output
Uncorrected energy ... -0.2647 hartree per atom
Formation enthalpy at 0 K ... -0.4 eV/f.u.
Space-group type ... Cmmm (65)
Energy above the lowest structure with this stoichiometry ... 101.1 meV/atom

Material: BeCoTc
Method: DFT, PBE-GGA
State: relaxed

a = 3.208 Å, b = 5.918 Å, c = 10.122 Å
α = 89.52°, β = 90.00°, γ = 90.00°
Element x y z (fractional)
Co: 0.250 0.359 0.204
Co: 0.750 0.009 0.907
Co: 0.750 0.641 0.796
Co: 0.250 0.991 0.093
Co: 0.750 0.144 0.540
Co: 0.250 0.856 0.460
Be: 0.750 0.239 0.080
Be: 0.250 0.761 0.920
Be: 0.750 0.764 0.589
Be: 0.250 0.236 0.411
Be: 0.750 0.274 0.749
Be: 0.250 0.726 0.251
Tc: 0.750 0.026 0.287
Tc: 0.250 0.468 0.612
Tc: 0.250 0.352 0.921
Tc: 0.250 0.974 0.713
Tc: 0.750 0.532 0.388
Tc: 0.750 0.648 0.079

Output
Uncorrected energy ... -0.2644 hartree per atom
Formation enthalpy at 0 K ... -0.4 eV/f.u.
Space-group type ... P2_1/m (11)
Energy above the lowest structure with this stoichiometry ... 108.0 meV/atom

Material: Be2CoTc
Method: DFT, PBE-GGA
State: relaxed

a = 3.863 Å, b = 3.863 Å, c = 3.863 Å
α = 60.00°, β = 60.00°, γ = 60.00°
Element x y z (fractional)
Tc: 0.500 0.500 0.500
Be: 0.750 0.750 0.750
Be: 0.250 0.250 0.250
Co: 0.000 0.000 0.000

Output
Uncorrected energy ... -0.2321 hartree per atom
Formation enthalpy at 0 K ... -0.3 eV/f.u.
Space-group type ... Fm-3m (225)
Energy above the lowest structure with this stoichiometry ... 102.8 meV/atom

Q: What is the formula in the eighth record?
A: Be2CoTc